No. 1
Density functional theory data (PBE) for a relaxed structure of Tm2Mg2Pb.

abc: 3.9446 3.9446 9.5849
angles: 101.87 101.87 90.00
Last column: nearest neighbours and their distance in Å.
Positions (direct):
Pb: 0.0000 0.0000 0.0000  8 Tm 3.31
Mg: 0.2500 0.7500 0.5000  4 Mg 2.79
Mg: 0.7500 0.2500 0.5000  4 Mg 2.79
Tm: 0.4024 0.4024 0.8048  4 Pb 3.31, 4 Mg 3.42, 1 Tm 3.58
Tm: 0.5976 0.5976 0.1952  4 Pb 3.31, 4 Mg 3.42, 1 Tm 3.58

Summary:
E above lowest polymorph	86.7	meV per atom
E_form	76	meV/atom
total magnetization	0.0	μB/f.u.
calculated volume	28.54	Å³ per atom



No. 2
Density functional theory data (PBE) for a relaxed structure of Tm4MgPb2.

abc: 7.6741 6.5016 9.0685
angles: 90.00 118.08 90.00
Last column: nearest neighbours and their distance in Å.
Positions (direct):
Pb: 0.8061 0.7500 0.0744  1 Mg 2.99, 8 Tm 3.22-3.33
Pb: 0.6598 0.7500 0.5778  1 Mg 3.03, 4 Tm 3.08-3.39
Pb: 0.1939 0.2500 0.9256  1 Mg 2.99, 8 Tm 3.22-3.33
Pb: 0.3402 0.2500 0.4222  1 Mg 3.03, 4 Tm 3.08-3.39
Tm: 0.0887 0.7500 0.8881  4 Pb 3.17-3.33, 1 Mg 3.25, 1 Tm 3.43
Tm: 0.9929 0.7500 0.4791  2 Pb 3.08-3.25, 1 Mg 3.13, 3 Tm 3.27-3.43
Tm: 0.4458 0.9976 0.7811  1 Mg 3.19, 3 Tm 3.22-3.48, 4 Pb 3.22-3.40
Tm: 0.5542 0.4976 0.2189  1 Mg 3.19, 3 Tm 3.22-3.48, 4 Pb 3.22-3.40
Tm: 0.9113 0.2500 0.1119  4 Pb 3.17-3.33, 1 Mg 3.25, 1 Tm 3.43
Tm: 0.4458 0.5024 0.7811  1 Mg 3.19, 3 Tm 3.22-3.48, 4 Pb 3.22-3.40
Tm: 0.0071 0.2500 0.5209  2 Pb 3.08-3.25, 1 Mg 3.13, 3 Tm 3.27-3.43
Tm: 0.5542 0.0024 0.2189  1 Mg 3.19, 3 Tm 3.22-3.48, 4 Pb 3.22-3.40
Mg: 0.7556 0.2500 0.7109  2 Pb 2.99-3.03, 4 Tm 3.13-3.25
Mg: 0.2444 0.7500 0.2891  2 Pb 2.99-3.03, 4 Tm 3.13-3.25

Summary:
E above lowest polymorph	50.2	meV per atom
E_form	-156	meV/atom
total magnetization	0.0	μB/f.u.
calculated volume	28.51	Å³ per atom



No. 3
Density functional theory data (PBE) for a relaxed structure of Tm2MgPb.

abc: 3.4623 3.4623 11.6718
angles: 81.47 81.47 60.00
Last column: nearest neighbours and their distance in Å.
Positions (direct):
Tm: 0.9087 0.9087 0.2740  1 Pb 3.15, 3 Mg 3.28, 6 Tm 3.46
Tm: 0.0913 0.0913 0.7260  1 Pb 3.15, 3 Mg 3.28, 6 Tm 3.46
Pb: 0.0000 0.0000 0.0000  2 Tm 3.15, 6 Pb 3.46
Mg: 0.5000 0.5000 0.5000  6 Tm 3.28, 6 Mg 3.46

Summary:
E_form	76	meV/atom
total magnetization	0.0	μB/f.u.
calculated volume	29.84	Å³ per atom



No. 4
Density functional theory data (PBE) for a relaxed structure of TmMgPb2.

abc: 4.6160 4.6160 6.9663
angles: 70.65 70.65 60.00
Last column: nearest neighbours and their distance in Å.
Positions (direct):
Pb: 0.0860 0.0860 0.7421  3 Mg 3.02, 3 Tm 3.08, 1 Pb 3.13
Pb: 0.2481 0.2481 0.2557  1 Pb 3.13, 3 Mg 3.17, 3 Tm 3.20
Mg: 0.4928 0.4928 0.5217  6 Pb 3.02-3.17
Tm: 0.6731 0.6731 0.9806  6 Pb 3.08-3.20

Summary:
E_form	-131	meV/atom
total magnetization	0.0	μB/f.u.
calculated volume	29.69	Å³ per atom



No. 5
Density functional theory data (PBE) for a relaxed structure of Tm4Mg5Pb6.

abc: 4.6983 10.7115 16.5333
angles: 90.00 90.00 102.67
Last column: nearest neighbours and their distance in Å.
Positions (direct):
Tm: 0.9675 0.9350 0.2705  6 Pb 3.38-3.51, 5 Mg 3.39-3.53
Tm: 0.0156 0.0311 0.5005  7 Pb 3.24-3.50, 1 Mg 3.58
Tm: 0.0325 0.0650 0.7705  6 Pb 3.38-3.51, 5 Mg 3.39-3.53
Tm: 0.1596 0.3191 0.2986  6 Pb 3.18-3.24
Tm: 0.1718 0.3436 0.9400  6 Pb 3.12-3.14
Tm: 0.8404 0.6809 0.7986  6 Pb 3.18-3.24
Tm: 0.9844 0.9689 0.0005  7 Pb 3.24-3.50, 1 Mg 3.58
Tm: 0.8282 0.6564 0.4400  6 Pb 3.12-3.14
Mg: 0.6972 0.3943 0.1169  4 Pb 2.88-2.96, 2 Mg 3.03-3.09
Mg: 0.4380 0.8759 0.6831  4 Pb 2.81-2.86, 1 Mg 3.03
Mg: 0.6586 0.3172 0.7734  4 Pb 2.90-3.05
Mg: 0.3414 0.6828 0.2734  4 Pb 2.90-3.05
Mg: 0.3028 0.6057 0.6169  4 Pb 2.88-2.96, 2 Mg 3.03-3.09
Mg: 0.1550 0.3101 0.6265  4 Pb 2.99-3.05, 3 Mg 3.09-3.29
Mg: 0.5620 0.1241 0.1831  4 Pb 2.81-2.86, 1 Mg 3.03
Mg: 0.6542 0.3084 0.4870  4 Pb 2.86-2.98
Mg: 0.8450 0.6899 0.1265  4 Pb 2.99-3.05, 3 Mg 3.09-3.29
Mg: 0.3458 0.6916 0.9870  4 Pb 2.86-2.98
Pb: 0.5732 0.1463 0.9200  1 Mg 3.01, 1 Pb 3.04, 4 Tm 3.14-3.28
Pb: 0.8889 0.7778 0.6131  4 Mg 2.81-2.96, 1 Tm 3.13
Pb: 0.5669 0.1337 0.6297  5 Mg 2.84-3.05
Pb: 0.7600 0.5200 0.2719  4 Mg 2.88-2.99, 3 Tm 3.12-3.18
Pb: 0.4371 0.8741 0.8558  2 Mg 2.86-2.89, 1 Pb 3.04
Pb: 0.2400 0.4800 0.7719  4 Mg 2.88-2.99, 3 Tm 3.12-3.18
Pb: 0.2308 0.4616 0.4686  4 Mg 2.86-3.05, 3 Tm 3.14-3.18
Pb: 0.4331 0.8663 0.1297  5 Mg 2.84-3.05
Pb: 0.5629 0.1259 0.3558  2 Mg 2.86-2.89, 1 Pb 3.04
Pb: 0.7692 0.5384 0.9686  4 Mg 2.86-3.05, 3 Tm 3.14-3.18
Pb: 0.1111 0.2222 0.1131  4 Mg 2.81-2.96, 1 Tm 3.13
Pb: 0.4268 0.8537 0.4200  1 Mg 3.01, 1 Pb 3.04, 4 Tm 3.14-3.28

Summary:
E_form	-251	meV/atom
total magnetization	0.0	μB/f.u.
calculated volume	27.06	Å³ per atom



No. 6
Density functional theory data (PBE) for a relaxed structure of Tm2Mg2Pb.

abc: 8.3666 8.3666 6.1813
angles: 50.04 50.04 25.96
Last column: nearest neighbours and their distance in Å.
Positions (direct):
Tm: 0.3067 0.3067 0.1668  2 Pb 3.20, 4 Mg 3.29-3.41
Tm: 0.6933 0.6933 0.8332  2 Pb 3.20, 4 Mg 3.29-3.41
Pb: 0.0000 0.0000 0.0000  4 Mg 3.02, 4 Tm 3.20
Mg: 0.5872 0.5872 0.5081  1 Mg 2.91, 2 Pb 3.02
Mg: 0.4128 0.4128 0.4919  1 Mg 2.91, 2 Pb 3.02

Summary:
E above lowest polymorph	0.0	meV per atom
E_form	-11	meV/atom
total magnetization	0.0	μB/f.u.
calculated volume	28.49	Å³ per atom